Density functional theory data (PBE) for an optimized crystal structure of ZrTlAgTeS2.

Structure (CIF):
```
data_ZrTlAgTeS2
_space_group_name_H-M_alt 'C m c m'
_space_group_IT_number 63
_space_group_name_Hall '-C 2c 2'
_cell_length_a 3.852
_cell_length_b 15.374
_cell_length_c 10.816
_cell_angle_alpha 90.00
_cell_angle_beta 90.00
_cell_angle_gamma 90.00
loop_
_atom_site_label
_atom_site_type_symbol
_atom_site_fract_x
_atom_site_fract_y
_atom_site_fract_z
Zr1 Zr 0.000 0.000 0.000
Tl1 Tl 0.000 0.222 0.250
Ag1 Ag 0.000 0.459 0.750
Te1 Te 0.000 0.091 0.750
S1 S 0.000 0.389 0.544
```

Calculated values
The total energy comes out at -4.926 eV/atom.